NdZrPdRu | PBE-GGA | optimized geometry

The space group is F-43m (No. 216) and the conventional cell measures 6.873, 6.873 and 6.873 Å, with angles of 90.00, 90.00 and 90.00 degrees. The inequivalent atoms are Nd at (0.000, 0.000, 0.000), Zr at (0.000, 0.000, 0.500), Pd at (0.250, 0.250, 0.750) and Ru at (0.250, 0.250, 0.250).

For the calculated total energy, the calculation gives -7.368 eV per atom. Its energy of formation is -0.42 eV/atom.

=====

Nd2PdS | PBE-GGA | optimized geometry

The space group is Cmcm (No. 63) and the conventional cell measures 3.995, 23.552 and 4.177 Å, with angles of 90.00, 90.00 and 90.00 degrees. The inequivalent atoms are Nd at (0.000, 0.069, 0.250), Nd at (0.000, 0.311, 0.250), Pd at (0.000, 0.457, 0.250) and S at (0.000, 0.190, 0.250).

For the calculated total energy, the calculation gives -6.104 eV per atom. The calculation puts the uncorrected formation energy at -1390 meV/atom. The calculation puts the energy above the most stable polymorph in this dataset at 0 meV per atom.

=====

NdPdS | PBE-GGA | optimized geometry

The space group is C2/m (No. 12) and the conventional cell measures 9.923, 4.029 and 6.740 Å, with angles of 90.00, 102.69 and 90.00 degrees. The inequivalent atoms are Nd at (0.108, 0.000, 0.268), Pd at (0.119, 0.500, 0.925) and S at (0.176, 0.000, 0.704).

For the calculated total energy, the calculation gives -5.986 eV per atom. The calculation puts the uncorrected formation energy at -1290 meV/atom.

=====

Nd2PdS | PBE-GGA | optimized geometry

The space group is R3m (No. 160, hexagonal axes) and the conventional cell measures 4.0152, 4.0152 and 22.3331 Å, with angles of 90.00, 90.00 and 120.00 degrees. The inequivalent atoms are Nd at (0.0000, 0.0000, 0.0000), Nd at (0.0000, 0.0000, 0.1730), Pd at (0.0000, 0.0000, 0.5869) and S at (0.0000, 0.0000, 0.4190).

For the calculated total energy, the calculation gives -5.921 eV per atom. The calculation puts the uncorrected formation energy at -1207 meV/atom. The calculation puts the energy above the most stable polymorph in this dataset at 183 meV per atom.

=====

Nd2PdS | PBE-GGA | optimized geometry

The space group is R-3m (No. 166, hexagonal axes) and the conventional cell measures 4.0520, 4.0520 and 21.6274 Å, with angles of 90.00, 90.00 and 120.00 degrees. The inequivalent atoms are Nd at (0.0000, 0.0000, 0.2494), Pd at (0.0000, 0.0000, 0.0000) and S at (0.0000, 0.0000, 0.5000).

For the calculated total energy, the calculation gives -5.994 eV per atom. The calculation puts the uncorrected formation energy at -1280 meV/atom. The calculation puts the energy above the most stable polymorph in this dataset at 110 meV per atom.

=====

NdPdS2 | PBE-GGA | optimized geometry

The space group is R-3m (No. 166, hexagonal axes) and the conventional cell measures 3.7128, 3.7128 and 23.9799 Å, with angles of 90.00, 90.00 and 120.00 degrees. The inequivalent atoms are Nd at (0.0000, 0.0000, 0.0000), Pd at (0.0000, 0.0000, 0.5000) and S at (0.0000, 0.0000, 0.1154).

For the calculated total energy, the calculation gives -4.925 eV per atom. The calculation puts the uncorrected formation energy at -371 meV/atom.

=====

NdPd3S4 | PBE-GGA | optimized geometry

The space group is Pm-3n (No. 223) and the conventional cell measures 6.761, 6.761 and 6.761 Å, with angles of 90.00, 90.00 and 90.00 degrees. The inequivalent atoms are Nd at (0.000, 0.000, 0.000), Pd at (0.000, 0.250, 0.500) and S at (0.250, 0.250, 0.250).

For the calculated total energy, the calculation gives -5.512 eV per atom. The calculation puts the uncorrected formation energy at -905 meV/atom.

=====

Nd6PdSe3S2 | PBE-GGA | optimized geometry

The space group is C2/m (No. 12) and the conventional cell measures 18.347, 4.114 and 8.470 Å, with angles of 90.00, 103.72 and 90.00 degrees. The inequivalent atoms are Nd at (0.004, 0.000, 0.244), Nd at (0.169, 0.500, 0.096), Nd at (0.170, 0.500, 0.573), Pd at (0.000, 0.500, 0.000), Se at (0.000, 0.500, 0.500), Se at (0.166, 0.000, 0.832) and S at (0.168, 0.000, 0.334).

For the calculated total energy, the calculation gives -6.088 eV per atom. The calculation puts the uncorrected formation energy at -1712 meV/atom.